## Cd6Ag3Sn (PBE-GGA)

Data for a relaxed Cd6Ag3Sn crystal.

The space group is Cmc2_1 (No. 36) and the conventional cell measures 11.723, 12.854 and 5.948 Å, with angles of 90.00, 90.00 and 90.00 degrees. The distinct sites, in fractional coordinates, are Cd at (0.000, 0.034, 0.000), Cd at (0.000, 0.304, 0.916), Cd at (0.202, 0.195, 0.161), Cd at (0.218, 0.498, 0.913), Ag at (0.000, 0.498, 0.665), Ag at (0.131, 0.143, 0.662) and Sn at (0.000, 0.301, 0.413).

The calculation puts the total magnetization at 0.00 μB/f.u. Its total energy is -1.784 eV per atom. The calculation puts the energy above the lowest structure with this stoichiometry at 0.000 eV/atom.